[1]
Computed, not measured: a geometry-optimized LiAg3PdO4 structure at the PBE level of DFT.

The calculated total energy comes out at -34.567 eV for the cell shown.

The space group is P-43m (No. 215) and the conventional cell measures 5.067, 5.067 and 5.067 Å, with angles of 90.00, 90.00 and 90.00 degrees. The distinct sites, in fractional coordinates, are Li at (0.000, 0.000, 0.000), Ag at (0.000, 0.500, 0.500), Pd at (0.500, 0.500, 0.500) and O at (0.224, 0.224, 0.224).



[2]
Computed, not measured: a geometry-optimized LiAgPdO3 structure at the PBE level of DFT.

The calculated total energy comes out at -116.193 eV for the cell shown.

The space group is Pnma (No. 62) and the conventional cell measures 10.317, 3.077 and 8.688 Å, with angles of 90.00, 90.00 and 90.00 degrees. The distinct sites, in fractional coordinates, are Li at (0.220, 0.250, 0.171), Ag at (0.116, 0.250, 0.481), Pd at (0.038, 0.250, 0.854), O at (0.050, 0.250, 0.254), O at (0.113, 0.750, 0.984) and O at (0.184, 0.250, 0.708).



[3]
Computed, not measured: a geometry-optimized LiPr2AgS2O2 structure at the PBE level of DFT.

The calculated total energy comes out at -49.589 eV for the cell shown. Its total magnetization is 0.001 μB per atom.

The space group is P-4m2 (No. 115) and the conventional cell measures 4.012, 4.012 and 8.882 Å, with angles of 90.00, 90.00 and 90.00 degrees. The distinct sites, in fractional coordinates, are Li at (0.000, 0.000, 0.000), Pr at (0.000, 0.500, 0.362), Ag at (0.500, 0.500, 0.000), S at (0.000, 0.500, 0.819), O at (0.000, 0.000, 0.500) and O at (0.500, 0.500, 0.500).



> Which formula does entry 3 have?

LiPr2AgS2O2



> The lowest calculated total energy belongs to which entry?

LiAgPdO3